1.
First-principles (PBE-GGA) data for a relaxed structure of MgPtS, as listed in Alexandria via LeMat-Bulk.

a = 4.5440 Å, b = 5.5286 Å, c = 5.5270 Å
α = 77.37°, β = 65.74°, γ = 65.75°
Last column: nearest neighbours and their distance in Å.
Atoms (fractional coordinates):
Mg 0.2494 0.5285 0.4092  2 S 2.62, 4 Pt 2.76-2.77
Mg 0.7493 0.0304 0.9073  2 S 2.62, 4 Pt 2.76-2.77
Pt 0.2498 0.0290 0.4078  2 S 2.31
Pt 0.2489 0.5299 0.9087  2 S 2.31
S 0.5875 0.7794 0.6582  2 Pt 2.31
S 0.9112 0.2795 0.1583  2 Pt 2.31

Properties
Total magnetization (μB per cell): 0.0
Volume (Å³/f.u.): 57.6
Energy relative to the elements, uncorrected (meV/atom): -675
Energy (eV per cell): -27.58
Crystal system: orthorhombic

---

2.
First-principles (PBE-GGA) data for a relaxed structure of MgPtS, as listed in Alexandria via LeMat-Bulk.

a = 4.7441 Å, b = 4.7377 Å, c = 5.7954 Å
α = 99.20°, β = 99.16°, γ = 73.43°
Last column: nearest neighbours and their distance in Å.
Atoms (fractional coordinates):
Pt 0.3578 0.2904 0.8451  2 S 2.33-2.34
Pt 0.8606 0.7863 0.8451  2 S 2.33
Mg 0.2980 0.7289 0.5967  2 S 2.49-2.62, 2 Pt 2.64
Mg 0.7882 0.2173 0.1947  2 S 2.47-2.56, 2 Pt 2.63
S 0.1082 0.5376 0.1663  2 Pt 2.33-2.34, 1 Mg 2.47
S 0.6120 0.0409 0.5286  2 Pt 2.33, 2 Mg 2.49-2.56

Properties
Total magnetization (μB per cell): 0.0
Volume (Å³/f.u.): 61.2
Energy relative to the elements, uncorrected (meV/atom): -673
Energy (eV per cell): -27.56
Crystal system: triclinic

---

3.
First-principles (PBE-GGA) data for a relaxed structure of MgPtS, as listed in Alexandria via LeMat-Bulk.

a = 4.7280 Å, b = 5.5822 Å, c = 4.7199 Å
α = 90.04°, β = 78.84°, γ = 90.04°
Last column: nearest neighbours and their distance in Å.
Atoms (fractional coordinates):
Mg 0.3471 0.0581 0.6585  2 S 2.49-2.56, 2 Pt 2.70-2.71
Mg 0.7037 0.5581 0.3026  2 S 2.49-2.56, 2 Pt 2.71
S 0.5389 0.0583 0.1137  2 Pt 2.33, 2 Mg 2.49-2.56
S 0.1595 0.5583 0.4931  2 Pt 2.33, 2 Mg 2.49-2.56
Pt 0.8501 0.3083 0.8043  2 S 2.33
Pt 0.8500 0.8082 0.8044  2 S 2.33

Properties
Total magnetization (μB per cell): 0.0
Volume (Å³/f.u.): 61.1
Energy relative to the elements, uncorrected (meV/atom): -730
Energy (eV per cell): -27.91
Crystal system: orthorhombic

---

4.
First-principles (PBE-GGA) data for a relaxed structure of MgPtS, as listed in Alexandria via LeMat-Bulk.

a = 3.4038 Å, b = 6.6553 Å, c = 5.9322 Å
α = 115.08°, β = 79.26°, γ = 71.17°
Last column: nearest neighbours and their distance in Å.
Atoms (fractional coordinates):
Mg 0.3216 0.9475 0.5869  3 S 2.56-2.61, 2 Pt 2.64-2.82
Mg 0.8061 0.3996 0.1599  3 S 2.54-2.77, 3 Pt 2.77-2.79
Pt 0.4501 0.5996 0.7100  2 S 2.32-2.33
Pt 0.6082 0.9986 0.0164  1 S 2.45
S 0.0869 0.7205 0.2068  4 Mg 2.54-2.56, 2 Pt 2.62-2.80
S 0.2013 0.3095 0.4966  3 Pt 2.32-2.45

Properties
Total magnetization (μB per cell): 0.0
Volume (Å³/f.u.): 53.4
Energy relative to the elements, uncorrected (meV/atom): -611
Energy (eV per cell): -27.19
Crystal system: triclinic

---

5.
First-principles (PBE-GGA) data for a relaxed structure of MgPtS, as listed in Alexandria via LeMat-Bulk.

a = 4.0980 Å, b = 4.0980 Å, c = 9.1168 Å
α = 77.01°, β = 77.01°, γ = 60.00°
Last column: nearest neighbours and their distance in Å.
Atoms (fractional coordinates):
S 0.2783 0.2783 0.1651  1 Pt 2.32, 3 Mg 2.50
S 0.7217 0.7217 0.8349  1 Pt 2.32, 3 Mg 2.50
Pt 0.8096 0.8096 0.5711  1 S 2.32
Pt 0.1904 0.1904 0.4289  1 S 2.32
Mg 0.4185 0.4185 0.7445  3 S 2.50
Mg 0.5815 0.5815 0.2555  3 S 2.50

Properties
Total magnetization (μB per cell): 0.0
Volume (Å³/f.u.): 64.0
Energy relative to the elements, uncorrected (meV/atom): -602
Energy (eV per cell): -27.14
Crystal system: trigonal

---

6.
First-principles (PBE-GGA) data for a relaxed structure of MgPtS, as listed in Alexandria via LeMat-Bulk.

a = 7.1766 Å, b = 3.7392 Å, c = 4.8896 Å
α = 112.47°, β = 98.33°, γ = 74.90°
Last column: nearest neighbours and their distance in Å.
Atoms (fractional coordinates):
Mg 0.3907 0.8861 0.0740  4 S 2.52-2.67
Mg 0.7429 0.3474 0.3494  2 S 2.46-2.61, 3 Pt 2.66-2.72
Pt 0.8184 0.6019 0.9335  2 S 2.40, 1 Mg 2.66, 2 Pt 2.67
Pt 0.5765 0.1138 0.7155  2 S 2.51, 2 Pt 2.67, 2 Mg 2.78-2.79
S 0.0263 0.0534 0.0443  2 Pt 2.40, 2 Mg 2.46-2.52
S 0.3810 0.5956 0.4835  2 Pt 2.51, 4 Mg 2.61-2.67

Properties
Total magnetization (μB per cell): 0.0
Volume (Å³/f.u.): 58.5
Energy relative to the elements, uncorrected (meV/atom): -733
Energy (eV per cell): -27.92
Crystal system: monoclinic

---

7.
First-principles (PBE-GGA) data for a relaxed structure of MgPtS, as listed in Alexandria via LeMat-Bulk.

a = 4.2963 Å, b = 8.1555 Å, c = 4.3477 Å
α = 105.46°, β = 59.79°, γ = 91.64°
Last column: nearest neighbours and their distance in Å.
Atoms (fractional coordinates):
Pt 0.2004 0.4448 0.9072  2 S 2.32
Pt 0.8018 0.7330 0.7529  2 S 2.30-2.37
S 0.9898 0.4332 0.5060  3 Pt 2.32-2.37, 1 Mg 2.56
S 0.6443 0.0259 0.9829  1 Pt 2.30, 3 Mg 2.55-2.57
Mg 0.2903 0.1022 0.6977  3 S 2.55-2.57, 1 Pt 2.67
Mg 0.5230 0.6102 0.3298  1 S 2.56, 4 Pt 2.64-2.73

Properties
Total magnetization (μB per cell): 0.0
Volume (Å³/f.u.): 62.9
Energy relative to the elements, uncorrected (meV/atom): -641
Energy (eV per cell): -27.37
Crystal system: triclinic

---

8.
First-principles (PBE-GGA) data for a relaxed structure of MgPtS, as listed in Alexandria via LeMat-Bulk.

a = 7.9740 Å, b = 3.7881 Å, c = 4.1314 Å
α = 90.00°, β = 74.92°, γ = 90.00°
Last column: nearest neighbours and their distance in Å.
Atoms (fractional coordinates):
Mg 0.8135 0.3726 0.5303  2 S 2.44
Mg 0.4983 0.8727 0.6911  2 S 2.44
S 0.3290 0.8723 0.2762  2 Mg 2.44, 2 Pt 2.45-2.46
S 0.9830 0.3722 0.9452  2 Mg 2.44, 2 Pt 2.45-2.46
Pt 0.5318 0.3724 0.1738  2 S 2.45-2.46, 2 Pt 2.69
Pt 0.7802 0.8724 0.0476  2 S 2.45-2.46, 2 Pt 2.69

Properties
Total magnetization (μB per cell): 0.0
Volume (Å³/f.u.): 60.2
Energy relative to the elements, uncorrected (meV/atom): -741
Energy (eV per cell): -27.97
Crystal system: monoclinic